# CaHfRh2 | Alexandria | PBE | optimized geometry
# Uncorrected energy   -0.5092 Ry/atom
# Spin magnetization   0.00 μB per cell
# DOS at the Fermi energy   5.81 states/eV/cell
# Energy relative to the elements   -0.26 eV per atom
data_CaHfRh2
_chemical_formula_sum 'Ca4 Hf4 Rh8'
_cell_length_a 7.228
_cell_length_b 7.228
_cell_length_c 6.275
_cell_angle_alpha 90.00
_cell_angle_beta 90.00
_cell_angle_gamma 90.00
_symmetry_space_group_name_H-M 'I -4 2 d'
_symmetry_Int_Tables_number 122
_symmetry_space_group_name_Hall 'I -4 2bw'
loop_
_atom_site_label
_atom_site_fract_x
_atom_site_fract_y
_atom_site_fract_z
Ca1 0.000 0.000 0.000
Hf1 0.000 0.000 0.500
Rh1 0.220 0.250 0.625